[1]
First-principles (PBE) data for an optimized crystal structure of B3HI, as listed in Alexandria.

Geometry as POSCAR:
```
B3HI
1.0
4.527 0.000 0.000
0.000 4.527 0.000
0.000 0.000 4.527
B H I
3 1 1
Cartesian
0.000 0.000 2.263
0.000 2.263 0.000
2.263 0.000 0.000
2.263 2.263 2.263
0.000 0.000 0.000
```

Calculated values
The calculation puts the total energy at -1.815 eV per atom. As for the space group: No. 221.

=====

[2]
First-principles (PBE) data for an optimized crystal structure of La7ZnI12, as listed in Alexandria.

Geometry as POSCAR:
```
La7ZnI12
1.0
8.221 4.746 3.634
-8.221 4.746 3.634
0.000 -9.493 3.634
La Zn I
7 1 12
Cartesian
0.000 0.000 0.000
-1.743 -1.697 3.709
-0.598 2.358 3.709
2.341 -0.661 3.709
-2.342 0.661 7.193
0.598 -2.358 7.193
1.743 1.697 7.193
0.000 0.000 5.451
-2.651 0.743 1.711
0.682 -2.668 1.711
-4.439 -1.123 5.433
-1.247 -4.406 5.469
1.969 1.924 1.711
-3.192 3.283 5.469
3.192 -3.283 5.433
-1.969 -1.924 9.192
1.247 4.406 5.433
4.439 1.123 5.469
-0.682 2.668 9.192
2.651 -0.743 9.192
```

Calculated values
As for the uncorrected formation energy: -1.2888 eV/atom. As for the space group: No. 148.

=====

Q: What is the formula in the first record?
A: B3HI